(1)
Entry from Alexandria: Pm3Tm2Pb2 after structural relaxation (PBE).

Calculated values
M_tot in μB/cell: 0.00
Formation energy from the elements in eV per formula unit: -2.061

Cell lengths 4.678, 6.169, 8.443 Å; angles 104.30, 90.00, 112.28 degrees
Positions (direct):
Pm: 0.500 0.000 0.000
Pm: 0.633 0.267 0.439
Pm: 0.367 0.733 0.561
Pb: 0.185 0.371 0.176
Pb: 0.815 0.629 0.824
Tm: 0.117 0.234 0.756
Tm: 0.883 0.766 0.244

***

(2)
Entry from Alexandria: Pm5TmPb6 after structural relaxation (PBE).

Calculated values
M_tot in μB/cell: 0.00
Energy above the most stable polymorph in this dataset in meV per atom: 0
Formation energy from the elements in eV per formula unit: -5.780

Cell lengths 5.024, 9.132, 9.268 Å; angles 119.52, 105.78, 90.00 degrees
Positions (direct):
Pb: 0.500 0.752 0.000
Pb: 0.500 0.248 0.000
Pb: 0.835 0.083 0.669
Pb: 0.165 0.917 0.331
Pb: 0.835 0.586 0.669
Pb: 0.165 0.414 0.331
Pm: 0.000 0.500 0.000
Pm: 0.663 0.163 0.327
Pm: 0.337 0.837 0.673
Pm: 0.667 0.667 0.334
Pm: 0.333 0.333 0.666
Tm: 0.000 0.000 0.000

***

(3)
Entry from Alexandria: PmTmPb2 after structural relaxation (PBE).

Calculated values
M_tot in μB/cell: 0.00
Formation energy from the elements in eV per formula unit: -1.835

Cell lengths 6.386, 6.388, 12.209 Å; angles 90.00, 106.31, 90.00 degrees
Positions (direct):
Pb: 0.435 0.627 0.605
Pb: 0.574 0.131 0.904
Pb: 0.565 0.373 0.395
Pb: 0.926 0.131 0.596
Pb: 0.074 0.869 0.404
Pb: 0.065 0.627 0.895
Pb: 0.426 0.869 0.096
Pb: 0.935 0.373 0.105
Pm: 0.556 0.872 0.369
Pm: 0.944 0.872 0.131
Pm: 0.444 0.128 0.631
Pm: 0.056 0.128 0.869
Tm: 0.053 0.372 0.374
Tm: 0.447 0.372 0.126
Tm: 0.947 0.628 0.626
Tm: 0.553 0.628 0.874

***

(4)
Entry from Alexandria: Pm3Tm2Pb4 after structural relaxation (PBE).

Calculated values
M_tot in μB/cell: 1.14
Energy above the most stable polymorph in this dataset in meV per atom: 46
Formation energy from the elements in eV per formula unit: -3.649

Cell lengths 4.865, 6.284, 10.021 Å; angles 93.74, 90.00, 112.77 degrees
Last column: magnetic moment on the atom in μB.
Positions (direct):
Tm: 0.683 0.366 0.794  0.10
Tm: 0.317 0.634 0.206  0.10
Pm: 0.632 0.264 0.415  0.18
Pm: 0.368 0.736 0.585  0.18
Pm: 0.000 0.000 0.000  0.01
Pb: 0.078 0.156 0.640  -0.01
Pb: 0.340 0.680 0.897  0.00
Pb: 0.660 0.320 0.103  0.00
Pb: 0.922 0.844 0.360  -0.01